PmPu2Rh9: relaxed, PBE-GGA.

Calculated values
**Size of the total moment**: 0.71 μB per atom
**Electronic total energy**: -8.718 eV per atom
**Energy of formation from the pure elements**: -0.419 eV per atom

```
12
Lattice="5.275 0.000 0.000 2.638 4.569 0.000 2.638 1.523 8.766" Properties=species:S:1:pos:R:3 pbc="T T T"
Pm 0.000 0.000 0.000
Pu 7.913 4.569 3.686
Pu 2.638 1.523 5.080
Rh 5.275 3.046 0.000
Rh 5.275 3.046 8.766
Rh 5.275 3.046 4.383
Rh 3.945 2.278 2.200
Rh 6.606 2.278 2.200
Rh 5.275 4.582 2.200
Rh 6.606 3.814 6.566
Rh 5.275 1.509 6.566
Rh 3.945 3.814 6.566
```

***

KCo3Cl: relaxed, PBE-GGA.

Calculated values
**Size of the total moment**: 0.60 μB per atom
**Electronic total energy**: -3.840 eV per atom
**ΔE_f (raw)**: 1012 meV per atom

```
5
Lattice="-2.266 3.072 2.062 -1.124 -2.876 3.048 3.525 1.058 2.298" Properties=species:S:1:pos:R:3 pbc="T T T"
K 0.067 0.627 3.704
Co -0.562 -1.438 1.524
Co 1.763 0.529 1.149
Co -1.133 1.536 1.031
Cl 0.000 0.000 0.000
```

***

Ga2BF: relaxed, PBE-GGA.

Calculated values
**Size of the total moment**: 0.00 μB per atom
**Electronic total energy**: -3.714 eV per atom
**ΔE_f (raw)**: -63 meV per atom

```
4
Lattice="0.000 2.889 2.889 2.889 0.000 2.889 2.889 2.889 0.000" Properties=species:S:1:pos:R:3 pbc="T T T"
B 0.000 0.000 0.000
Ga 1.444 1.444 1.444
Ga 4.333 4.333 4.333
F 2.889 2.889 2.889
```

***

YPuSc2O8: relaxed, PBE-GGA.

Calculated values
**Size of the total moment**: 0.08 μB per atom
**Electronic total energy**: -9.130 eV per atom
**ΔE_f (raw)**: -3036 meV per atom

```
12
Lattice="-0.401 -0.307 -4.889 4.866 -0.581 -0.372 -0.763 -6.708 0.484" Properties=species:S:1:pos:R:3 pbc="T T T"
Y -0.382 -3.354 0.242
Pu 0.000 0.000 0.000
Sc 1.674 -5.353 -2.276
Sc 2.028 -2.242 -2.501
O 3.665 -2.038 -1.144
O 2.427 -7.342 -3.275
O 0.455 -1.871 -3.898
O 0.036 -5.558 -3.633
O 1.274 -0.254 -1.502
O 3.246 -5.725 -0.879
O 2.667 -3.960 -3.349
O 1.035 -3.636 -1.428
```

***

Mg2Zn15Cu2: relaxed, PBE-GGA.

Calculated values
**Size of the total moment**: 0.00 μB per atom
**Electronic total energy**: -1.614 eV per atom
**Energy of formation from the pure elements**: -0.009 eV per atom

```
19
Lattice="-0.954 -4.996 -4.409 0.125 -5.118 4.370 -6.648 -0.680 0.807" Properties=species:S:1:pos:R:3 pbc="T T T"
Mg -2.438 -3.520 0.250
Mg -5.039 -7.275 0.518
Zn -0.477 -2.498 -2.205
Zn -3.324 -0.340 0.404
Zn 0.062 -2.559 2.185
Zn -1.880 -3.805 3.316
Zn -0.635 -5.032 -1.811
Zn -4.963 -1.958 -0.737
Zn -0.195 -5.082 1.772
Zn -2.639 -3.719 -2.865
Zn -4.644 -1.994 1.862
Zn -4.364 -4.519 2.667
Zn -1.561 -6.644 0.099
Zn -4.896 -4.459 -1.655
Zn -3.113 -6.276 -1.899
Zn -5.916 -4.151 0.669
Zn -2.582 -6.336 2.423
Cu -0.747 -1.079 0.077
Cu -6.730 -9.716 0.691
```

***

BePdW: relaxed, PBE-GGA.

Calculated values
**Size of the total moment**: 0.00 μB per atom
**Electronic total energy**: -7.374 eV per atom
**Energy of formation from the pure elements**: -0.083 eV per atom

```
6
Lattice="4.143 0.000 0.000 0.000 2.758 0.002 0.000 -0.477 7.151" Properties=species:S:1:pos:R:3 pbc="T T T"
Be 3.054 0.596 3.541
Be 0.982 1.926 0.050
Pd 3.054 1.942 1.239
Pd 0.983 0.582 2.353
W 3.054 0.079 6.034
W 0.982 1.967 4.708
```